one.
This record from Alexandria describes a geometry-optimized PmPrYIn structure. The functional is PBE.

Properties
Total moment (μB per formula unit): 0.93
Crystal system: cubic

Cell: 7.8941 7.8941 7.8941 Å, 90.00 90.00 90.00°
Space group F-43m (No. 216)
Inequivalent atoms, fractional coordinates:
Pm  0.0000  0.0000  0.0000 x4
Pr  0.0000  0.0000  0.5000 x4
Y  0.2500  0.2500  0.2500 x4
In  0.2500  0.2500  0.7500 x4

=====

two.
This record from Alexandria describes a geometry-optimized PmPrYIn structure. The functional is PBE.

Properties
Total moment (μB per formula unit): 1.43
Crystal system: cubic

Cell: 7.8688 7.8688 7.8688 Å, 90.00 90.00 90.00°
Space group F-43m (No. 216)
Inequivalent atoms, fractional coordinates:
Pm  0.0000  0.0000  0.0000 x4
Pr  0.2500  0.2500  0.2500 x4
Y  0.0000  0.0000  0.5000 x4
In  0.2500  0.2500  0.7500 x4

=====

Stability verdict: one, ahead by 0.024 eV/atom